Density functional theory data (GGA-PBE) for a geometry-optimized Er2PaTe4 structure.

Cell lengths 4.224, 7.436, 14.797 Å; angles 90.00, 90.00, 106.50 degrees
Element x y z (fractional)
Pa 0.377 0.753 0.250
Pa 0.623 0.247 0.750
Er 0.135 0.269 0.066
Er 0.865 0.731 0.934
Er 0.865 0.731 0.566
Er 0.135 0.269 0.434
Te 0.500 0.000 0.500
Te 0.776 0.552 0.123
Te 0.776 0.552 0.377
Te 0.500 0.000 0.000
Te 0.224 0.448 0.877
Te 0.959 0.918 0.750
Te 0.224 0.448 0.623
Te 0.041 0.082 0.250

Density of states at the Fermi level = 8.25 states/eV/f.u.
Space-group type = No. 63
DFT total energy = -5.51 eV/atom
Formation energy (no corrections) = -1059 meV per atom
Total moment = 1.75 μB per formula unit